Entry from Alexandria: Y2ZnFe after structural relaxation (GGA-PBE).

```
Y2ZnFe
1.0
6.008 -0.042 0.023
5.048 3.258 0.023
1.866 0.543 4.364
Y Zn Fe
2 1 1
Cartesian
10.814 3.145 0.165
9.830 2.859 3.238
6.845 1.991 2.034
2.950 0.858 1.224
```

Properties
- E_tot: -5.6547 eV per atom
- DOS at the Fermi energy: 1.46 states/eV/atom
- Space-group type: No. 8
- Spin magnetization: 1.7 Bohr magnetons per cell
- Volume: 86.2 Å³/f.u.


Entry from Alexandria: BeTc2N after structural relaxation (GGA-PBE).

```
BeTc2N
1.0
4.632 0.000 0.000
0.000 4.632 0.000
2.316 2.316 5.090
N Be Tc
2 2 4
Cartesian
4.632 2.316 2.545
0.000 0.000 0.000
2.316 4.632 2.545
2.316 2.316 0.000
5.790 6.052 3.818
3.474 3.213 3.818
3.736 1.158 1.273
0.897 3.474 1.273
```

Properties
- E_tot: -7.5438 eV per atom
- DOS at the Fermi energy: 0.87 states/eV/atom
- Space-group type: No. 122
- Spin magnetization: 2.1 Bohr magnetons per cell
- ΔE to the lowest computed polymorph: 0 meV/atom
- Volume: 54.6 Å³/f.u.


Entry from Alexandria: La3CuIr after structural relaxation (GGA-PBE).

```
La3CuIr
1.0
-3.082 0.154 4.679
4.440 -1.677 2.980
1.482 5.345 0.800
Ir La Cu
1 3 1
Cartesian
0.000 0.000 0.000
0.741 2.673 0.400
2.220 -0.839 1.490
-1.541 0.077 2.339
1.420 1.911 4.229
```

Properties
- E_tot: -5.6309 eV per atom
- DOS at the Fermi energy: 1.30 states/eV/atom
- Space-group type: No. 221
- Spin magnetization: 0.0 Bohr magnetons per cell
- ΔE to the lowest computed polymorph: 311 meV/atom
- Volume: 176.0 Å³/f.u.


Entry from Alexandria: NaHgAu after structural relaxation (GGA-PBE).

```
NaHgAu
1.0
-2.993 -0.480 5.119
2.964 -4.893 -1.636
6.831 2.718 4.248
Hg Au Na
4 4 4
Cartesian
-0.146 -0.593 2.025
2.120 -2.373 5.185
6.949 -2.062 5.707
4.683 -0.283 2.547
2.085 0.366 3.524
7.040 0.584 3.901
4.719 -3.021 4.208
-0.237 -3.239 3.830
7.324 -2.289 2.416
2.457 -2.573 1.937
-0.521 -0.366 5.316
4.346 -0.082 5.794
```

Properties
- E_tot: -1.8803 eV per atom
- DOS at the Fermi energy: 0.29 states/eV/atom
- Space-group type: No. 64
- Spin magnetization: 0.0 Bohr magnetons per cell
- ΔE to the lowest computed polymorph: 12 meV/atom
- Volume: 68.2 Å³/f.u.


Entry from Alexandria: Sm2Zn2Cd3 after structural relaxation (GGA-PBE).

```
Sm2Zn2Cd3
1.0
3.491 0.000 0.000
0.000 4.487 0.000
0.000 -2.244 10.484
Sm Cd Zn
2 3 2
Cartesian
0.000 0.000 3.406
0.000 2.244 7.078
1.745 0.000 8.945
1.745 2.244 1.540
0.000 0.000 0.000
1.745 2.244 4.556
1.745 0.000 5.928
```

Properties
- E_tot: -2.3471 eV per atom
- DOS at the Fermi energy: 0.85 states/eV/atom
- Space-group type: No. 65
- Spin magnetization: 0.4 Bohr magnetons per cell
- ΔE to the lowest computed polymorph: 57 meV/atom
- Volume: 164.2 Å³/f.u.


Entry from Alexandria: Ho4SiGe2 after structural relaxation (GGA-PBE).

```
Ho4SiGe2
1.0
-4.474 1.494 -5.958
-3.881 -4.029 5.142
2.316 6.528 3.125
Ge Si Ho
4 2 8
Cartesian
-0.083 3.259 2.495
-3.869 1.367 0.018
-2.784 5.321 0.194
-5.344 -1.961 1.911
0.000 0.000 0.000
-2.871 0.616 3.930
-0.731 2.385 5.520
-1.266 2.548 -0.397
-0.107 5.814 1.162
-5.738 1.152 2.612
-2.717 -0.845 1.461
-4.343 1.901 -3.117
-6.286 -0.111 -0.545
-2.968 3.128 2.540
```

Properties
- E_tot: -5.5224 eV per atom
- DOS at the Fermi energy: 0.10 states/eV/atom
- Space-group type: No. 122
- Spin magnetization: 0.0 Bohr magnetons per cell
- Volume: 168.9 Å³/f.u.


Entry from Alexandria: ErSn2Bi after structural relaxation (GGA-PBE).

```
ErSn2Bi
1.0
-2.251 -2.112 -3.829
-1.590 -3.443 2.833
-3.897 2.534 0.893
Sn Bi Er
2 1 1
Cartesian
-0.795 -1.721 1.417
-1.949 1.267 0.447
-1.125 -1.056 -1.914
-3.869 -1.510 -0.051
```

Properties
- E_tot: -4.4402 eV per atom
- DOS at the Fermi energy: 0.66 states/eV/atom
- Space-group type: No. 123
- Spin magnetization: 0.0 Bohr magnetons per cell
- ΔE to the lowest computed polymorph: 0 meV/atom
- Volume: 110.2 Å³/f.u.


Entry from Alexandria: Ti3H3Pb after structural relaxation (GGA-PBE).

```
Ti3H3Pb
1.0
5.422 0.000 0.000
0.000 5.422 0.000
0.000 0.000 5.422
H Ti Pb
6 6 2
Cartesian
1.356 0.000 2.711
0.000 2.711 4.067
4.067 0.000 2.711
2.711 1.356 0.000
2.711 4.067 0.000
0.000 2.711 1.356
0.000 4.067 2.711
4.067 2.711 0.000
2.711 0.000 1.356
2.711 0.000 4.067
0.000 1.356 2.711
1.356 2.711 0.000
2.711 2.711 2.711
0.000 0.000 0.000
```

Properties
- E_tot: -5.7111 eV per atom
- DOS at the Fermi energy: 0.72 states/eV/atom
- Space-group type: No. 223
- Spin magnetization: 0.0 Bohr magnetons per cell
- ΔE to the lowest computed polymorph: 0 meV/atom
- Volume: 79.7 Å³/f.u.


Entry from Alexandria: Na3Dy2HoO6 after structural relaxation (GGA-PBE).

```
Na3Dy2HoO6
1.0
-5.322 -2.570 0.444
4.789 -3.286 -1.182
1.003 1.189 5.713
Na O Ho Dy
3 6 1 2
Cartesian
3.610 -2.573 1.944
-3.140 -2.095 3.030
0.235 -2.334 2.487
1.764 -1.252 0.760
2.063 -3.653 3.675
-1.294 -3.416 4.215
-1.593 -1.014 1.300
0.652 -0.594 4.317
-0.183 -4.074 0.658
0.000 0.000 0.000
1.419 -3.048 -0.640
-1.952 -2.809 -0.098
```

Properties
- E_tot: -6.7648 eV per atom
- DOS at the Fermi energy: 0.00 states/eV/atom
- Space-group type: No. 12
- Spin magnetization: 0.0 Bohr magnetons per cell
- Volume: 169.8 Å³/f.u.


Entry from Alexandria: Sr2ScNi after structural relaxation (GGA-PBE).

```
Sr2ScNi
1.0
-0.074 -5.333 -0.821
4.518 -2.570 -1.451
2.464 -3.301 3.486
Sr Sc Ni
2 1 1
Cartesian
1.727 -2.801 0.304
0.000 0.000 0.000
5.181 -8.403 0.911
3.454 -5.602 0.607
```

Properties
- E_tot: -3.3788 eV per atom
- DOS at the Fermi energy: 1.31 states/eV/atom
- Space-group type: No. 216
- Spin magnetization: 0.0 Bohr magnetons per cell
- ΔE to the lowest computed polymorph: 466 meV/atom
- Volume: 111.1 Å³/f.u.


Entry from Alexandria: CrC2 after structural relaxation (GGA-PBE).

```
CrC2
1.0
3.473 2.707 0.009
-3.473 2.707 0.009
0.000 0.606 4.426
Cr C
3 6
Cartesian
1.707 3.010 2.222
0.000 0.000 0.000
-1.707 3.010 2.222
0.728 1.662 1.162
-0.728 1.662 1.162
0.000 4.366 1.900
-0.728 4.358 3.282
0.728 4.358 3.282
0.000 1.654 2.543
```

Properties
- E_tot: -8.3581 eV per atom
- DOS at the Fermi energy: 0.44 states/eV/atom
- Space-group type: No. 12
- Spin magnetization: 3.4 Bohr magnetons per cell
- ΔE to the lowest computed polymorph: 504 meV/atom
- Volume: 27.7 Å³/f.u.


Entry from Alexandria: Sc2TlTc after structural relaxation (GGA-PBE).

```
Sc2TlTc
1.0
9.177 0.002 0.001
8.589 3.233 0.001
8.589 1.564 2.830
Sc Tc Tl
2 1 1
Cartesian
26.046 4.743 2.799
13.485 2.456 1.449
6.589 1.200 0.708
19.766 3.599 2.124
```

Properties
- E_tot: -6.4856 eV per atom
- DOS at the Fermi energy: 0.61 states/eV/atom
- Space-group type: No. 166
- Spin magnetization: 0.0 Bohr magnetons per cell
- ΔE to the lowest computed polymorph: 163 meV/atom
- Volume: 83.9 Å³/f.u.